Arrangement w

Material: LaY2Tm
Method: DFT, GGA-PBE
State: relaxed

Computed properties:
- D(E_F) (states/eV per cell) = 18.11
- M_tot (Bohr magnetons per cell) = 0.001

Unit cell a=3.5988 b=3.5988 c=35.0813 alpha=90.00 beta=90.00 gamma=120.00
Space group R-3m (No. 166, hexagonal axes)
Inequivalent atoms, fractional coordinates:
La: 0.0000 0.0000 0.0000
Y: 0.0000 0.0000 0.2477
Tm: 0.0000 0.0000 0.5000



Arrangement x

Material: LaY2Tm
Method: DFT, GGA-PBE
State: relaxed

Computed properties:
- D(E_F) (states/eV per cell) = 6.80
- M_tot (Bohr magnetons per cell) = 0.000

Unit cell a=3.602 b=3.602 c=10.152 alpha=90.00 beta=90.00 gamma=90.00
Space group P4/mmm (No. 123)
Inequivalent atoms, fractional coordinates:
La: 0.000 0.000 0.000
Y: 0.500 0.500 0.259
Tm: 0.000 0.000 0.500



Consider the structures shown above. The least stable of them is arrangement x.